1.
## TiSiS4 (PBE-GGA)

Data for a relaxed TiSiS4 crystal.

Size of the total moment in μB/cell: 0.0
Crystal system: orthorhombic
Formation energy from raw total energies in kcal/mol of atoms: -20.15
E in eV/f.u.: -35.1
Symmetry: No. 16
V in Å³ per cell: 377.0

a b c (Å): 5.6928 5.6948 11.6298
angles (deg): 90.00 90.00 90.00
With the nearest neighbours (Å) after each atom.
Positions (direct):
Ti1 0.0000 0.0000 0.0000  4 S 2.29
Ti2 0.5000 0.0000 0.5000  4 S 2.29
Si1 0.0000 0.0000 0.5000  4 S 2.15
Si2 0.0000 0.5000 0.0000  4 S 2.15
S1 0.2095 0.2690 0.1039  1 Si 2.15, 1 Ti 2.29
S2 0.2095 0.7310 0.8961  1 Si 2.15, 1 Ti 2.29
S3 0.2311 0.2096 0.6040  1 Si 2.15, 1 Ti 2.29
S4 0.2311 0.7904 0.3960  1 Si 2.15, 1 Ti 2.29
S5 0.7689 0.2096 0.3960  1 Si 2.15, 1 Ti 2.29
S6 0.7689 0.7904 0.6040  1 Si 2.15, 1 Ti 2.29
S7 0.7905 0.2690 0.8961  1 Si 2.15, 1 Ti 2.29
S8 0.7905 0.7310 0.1039  1 Si 2.15, 1 Ti 2.29

2.
## TiSi2S6 (PBE-GGA)

Data for a relaxed TiSi2S6 crystal.

Size of the total moment in μB/cell: 0.0
Crystal system: monoclinic
Formation energy from raw total energies in kcal/mol of atoms: -16.86
E in eV/f.u.: -50.1
Symmetry: No. 15
V in Å³ per cell: 383.1

a b c (Å): 7.9541 7.9541 6.1974
angles (deg): 98.40 98.40 85.55
With the nearest neighbours (Å) after each atom.
Positions (direct):
Ti1 0.1243 0.8757 0.7500  4 S 2.31-2.45
Ti2 0.8757 0.1243 0.2500  4 S 2.31-2.45
Si1 0.2230 0.3754 0.6694  4 S 2.14-2.16
Si2 0.3754 0.2230 0.1694  4 S 2.14-2.16
Si3 0.6246 0.7770 0.8306  4 S 2.14-2.16
Si4 0.7770 0.6246 0.3306  4 S 2.14-2.16
S1 0.0424 0.1785 0.6148  1 Si 2.16
S2 0.1187 0.6050 0.8394  1 Si 2.14, 1 Ti 2.31
S3 0.1785 0.0424 0.1148  1 Si 2.16
S4 0.2939 0.4472 0.3755  2 Si 2.15
S5 0.3950 0.8813 0.6606  1 Si 2.14, 1 Ti 2.31
S6 0.4472 0.2939 0.8755  2 Si 2.15
S7 0.5528 0.7061 0.1245  2 Si 2.15
S8 0.6050 0.1187 0.3394  1 Si 2.14, 1 Ti 2.31
S9 0.7061 0.5528 0.6245  2 Si 2.15
S10 0.8215 0.9576 0.8852  1 Si 2.16
S11 0.8813 0.3950 0.1606  1 Si 2.14, 1 Ti 2.31
S12 0.9576 0.8215 0.3852  1 Si 2.16

3.
## TiSiS (PBE-GGA)

Data for a relaxed TiSiS crystal.

Size of the total moment in μB/cell: 0.0
Crystal system: tetragonal
Formation energy from raw total energies in kcal/mol of atoms: -20.22
E in eV/f.u.: -20.1
Symmetry: No. 139
V in Å³ per cell: 90.3

a b c (Å): 8.1288 8.1288 8.1288
angles (deg): 155.77 155.77 34.53
With the nearest neighbours (Å) after each atom.
Positions (direct):
Ti1 0.1390 0.1390 0.0000  5 S 2.54-2.64, 4 Si 2.75
Ti2 0.8610 0.8610 0.0000  5 S 2.54-2.64, 4 Si 2.75
Si1 0.0000 0.5000 0.5000  4 Si 2.41
Si2 0.5000 0.0000 0.5000  4 Si 2.41
S1 0.3093 0.3093 0.0000  5 Ti 2.54-2.64
S2 0.6907 0.6907 0.0000  5 Ti 2.54-2.64

4.
## Ti3SiS6 (PBE-GGA)

Data for a relaxed Ti3SiS6 crystal.

Size of the total moment in μB/cell: 1.5
Crystal system: orthorhombic
Formation energy from raw total energies in kcal/mol of atoms: -22.88
E in eV/f.u.: -63.8
Symmetry: No. 36
V in Å³ per cell: 359.4

a b c (Å): 8.0626 8.0626 5.7911
angles (deg): 90.00 90.00 107.31
With the nearest neighbours (Å) after each atom.
Positions (direct):
Ti1 0.0689 0.9311 0.5000  6 S 2.46-2.52
Ti2 0.2499 0.3737 0.3324  6 S 2.39-2.64
Ti3 0.3737 0.2499 0.8324  6 S 2.39-2.64
Ti4 0.6263 0.7501 0.3324  6 S 2.39-2.64
Ti5 0.7501 0.6263 0.8324  6 S 2.39-2.64
Ti6 0.9311 0.0689 0.0000  6 S 2.46-2.52
Si1 0.2833 0.7167 0.8272  4 S 2.13-2.22
Si2 0.7167 0.2833 0.3272  4 S 2.13-2.22
S1 0.0341 0.6350 0.6624  1 Si 2.14
S2 0.0960 0.2257 0.6681  4 Ti 2.39-2.52
S3 0.2257 0.0960 0.1681  4 Ti 2.39-2.52
S4 0.3167 0.6833 0.1864  1 Si 2.13
S5 0.3650 0.9659 0.6624  1 Si 2.14
S6 0.4381 0.5619 0.6649  1 Si 2.22
S7 0.5619 0.4381 0.1649  1 Si 2.22
S8 0.6350 0.0341 0.1624  1 Si 2.14
S9 0.6833 0.3167 0.6864  1 Si 2.13
S10 0.7743 0.9040 0.6681  4 Ti 2.39-2.52
S11 0.9040 0.7743 0.1681  4 Ti 2.39-2.52
S12 0.9659 0.3650 0.1624  1 Si 2.14

5.
## Ti2SiS (PBE-GGA)

Data for a relaxed Ti2SiS crystal.

Size of the total moment in μB/cell: 0.0
Crystal system: trigonal
Formation energy from raw total energies in kcal/mol of atoms: -19.88
Energy relative to the lowest polymorph listed for this composition in meV/atom: 0
E in eV/f.u.: -28.8
Symmetry: No. 160
V in Å³ per cell: 63.9

a b c (Å): 6.4681 6.4681 6.4681
angles (deg): 31.06 31.06 31.06
With the nearest neighbours (Å) after each atom.
Positions (direct):
Ti1 0.0000 0.0000 0.0000  3 Si 2.48, 3 S 2.55
Ti2 0.1733 0.1733 0.1733  3 Si 2.50, 3 S 2.57
Si1 0.5875 0.5875 0.5875  6 Ti 2.48-2.50
S1 0.4194 0.4194 0.4194  6 Ti 2.55-2.57

6.
## Ti2SiS (PBE-GGA)

Data for a relaxed Ti2SiS crystal.

Size of the total moment in μB/cell: 0.0
Crystal system: tetragonal
Formation energy from raw total energies in kcal/mol of atoms: -5.97
Energy relative to the lowest polymorph listed for this composition in meV/atom: 603
E in eV/f.u.: -26.4
Symmetry: No. 122
V in Å³ per cell: 174.5

a b c (Å): 6.8603 6.8603 6.8603
angles (deg): 132.05 132.05 70.15
With the nearest neighbours (Å) after each atom.
Positions (direct):
Ti1 0.1129 0.6250 0.9879  2 S 2.38, 2 Si 2.46
Ti2 0.3750 0.3629 0.4879  2 S 2.38, 2 Si 2.46
Ti3 0.6371 0.1250 0.0121  2 S 2.38, 2 Si 2.46
Ti4 0.8750 0.8871 0.5121  2 S 2.38, 2 Si 2.46
Si1 0.2500 0.7500 0.5000  4 Ti 2.46
Si2 0.5000 0.5000 0.0000  4 Ti 2.46
S1 0.0000 0.0000 0.0000  4 Ti 2.38
S2 0.7500 0.2500 0.5000  4 Ti 2.38

7.
## Ti4SiS (PBE-GGA)

Data for a relaxed Ti4SiS crystal.

Size of the total moment in μB/cell: 0.0
Crystal system: monoclinic
Formation energy from raw total energies in kcal/mol of atoms: -12.70
E in eV/f.u.: -44.4
Symmetry: No. 14
V in Å³ per cell: 201.6

a b c (Å): 5.7159 5.9681 5.9296
angles (deg): 90.00 94.83 90.00
With the nearest neighbours (Å) after each atom.
Positions (direct):
Ti1 0.1387 0.1414 0.3777  1 S 2.29, 2 Si 2.42-2.46
Ti2 0.1387 0.3586 0.8777  1 S 2.29, 2 Si 2.42-2.46
Ti3 0.3599 0.6557 0.3328  2 S 2.38-2.39, 1 Si 2.53
Ti4 0.3599 0.8443 0.8328  2 S 2.38-2.39, 1 Si 2.53
Ti5 0.6401 0.1557 0.1672  2 S 2.38-2.39, 1 Si 2.53
Ti6 0.6401 0.3443 0.6672  2 S 2.38-2.39, 1 Si 2.53
Ti7 0.8613 0.6414 0.1223  1 S 2.29, 2 Si 2.42-2.46
Ti8 0.8613 0.8586 0.6223  1 S 2.29, 2 Si 2.42-2.46
Si1 0.0000 0.0000 0.0000  6 Ti 2.42-2.53
Si2 0.0000 0.5000 0.5000  6 Ti 2.42-2.53
S1 0.5000 0.0000 0.5000  6 Ti 2.29-2.39
S2 0.5000 0.5000 0.0000  6 Ti 2.29-2.39

8.
## Ti7Si2S2 (PBE-GGA)

Data for a relaxed Ti7Si2S2 crystal.

Size of the total moment in μB/cell: 0.0
Crystal system: orthorhombic
Formation energy from raw total energies in kcal/mol of atoms: -18.90
E in eV/f.u.: -83.4
Symmetry: No. 44
V in Å³ per cell: 168.6

a b c (Å): 7.8404 7.8404 7.8404
angles (deg): 156.06 65.87 119.66
With the nearest neighbours (Å) after each atom.
Positions (direct):
Ti1 0.0000 0.0000 0.0000  3 Si 2.57-2.58
Ti2 0.2991 0.4152 0.8839  2 S 2.47, 3 Si 2.54-2.57
Ti3 0.3168 0.6367 0.6800  3 S 2.41-2.57, 1 Si 2.54
Ti4 0.5313 0.4152 0.1161  2 S 2.47, 3 Si 2.54-2.57
Ti5 0.6007 0.2513 0.3494  2 S 2.50, 2 Si 2.64
Ti6 0.9020 0.2513 0.6506  2 S 2.50, 2 Si 2.64
Ti7 0.9567 0.6367 0.3200  3 S 2.41-2.57, 1 Si 2.54
Si1 0.2541 0.7541 0.5000  8 Ti 2.54-2.58
Si2 0.6734 0.6734 0.0000  7 Ti 2.54-2.64
S1 0.1799 0.9365 0.2435  7 Ti 2.41-2.57
S2 0.6930 0.9365 0.7565  7 Ti 2.41-2.57

9.
## TiTl2SiS4 (PBE-GGA)

Data for a relaxed TiTl2SiS4 crystal.

Size of the total moment in μB/cell: 0.0
Crystal system: orthorhombic
Formation energy from raw total energies in kcal/mol of atoms: -14.74
E in eV/f.u.: -39.7
Symmetry: No. 70
V in Å³ per cell: 434.8

a b c (Å): 13.0435 11.9177 6.8612
angles (deg): 83.34 65.16 31.50
With the nearest neighbours (Å) after each atom.
Positions (direct):
Ti1 0.1250 0.1250 0.1250  4 S 2.35
Ti2 0.8750 0.8750 0.8750  4 S 2.35
Tl1 0.0440 0.0440 0.7060  8 S 3.43-3.79
Tl2 0.2940 0.2940 0.9560  8 S 3.43-3.79
Tl3 0.7060 0.7060 0.0440  8 S 3.43-3.79
Tl4 0.9560 0.9560 0.2940  8 S 3.43-3.79
Si1 0.3750 0.3750 0.3750  4 S 2.17
Si2 0.6250 0.6250 0.6250  4 S 2.17
S1 0.0002 0.3491 0.4432  1 Si 2.17, 1 Ti 2.35
S2 0.9998 0.6509 0.5568  1 Si 2.17, 1 Ti 2.35
S3 0.2925 0.5568 0.6509  1 Si 2.17, 1 Ti 2.35
S4 0.3491 0.0002 0.7075  1 Si 2.17, 1 Ti 2.35
S5 0.4432 0.7075 0.0002  1 Si 2.17, 1 Ti 2.35
S6 0.5568 0.2925 0.9998  1 Si 2.17, 1 Ti 2.35
S7 0.6509 0.9998 0.2925  1 Si 2.17, 1 Ti 2.35
S8 0.7075 0.4432 0.3491  1 Si 2.17, 1 Ti 2.35

10.
## ZrTiSi2S (PBE-GGA)

Data for a relaxed ZrTiSi2S crystal.

Size of the total moment in μB/cell: 0.0
Crystal system: tetragonal
Formation energy from raw total energies in kcal/mol of atoms: 9.63
E in eV/f.u.: -29.3
Symmetry: No. 123
V in Å³ per cell: 96.5

a b c (Å): 4.5448 4.5448 4.6714
angles (deg): 90.00 90.00 90.00
With the nearest neighbours (Å) after each atom.
Positions (direct):
Zr1 0.0000 0.0000 0.0000  2 S 2.34
Ti1 0.5000 0.5000 0.0000  4 Zr 3.21, 8 Si 3.26
Si1 0.0000 0.5000 0.5000  2 S 2.27
Si2 0.5000 0.0000 0.5000  2 S 2.27
S1 0.0000 0.0000 0.5000  4 Si 2.27, 2 Zr 2.34

Which formula does entry 9 have?
TiTl2SiS4

What did the sixth record say?
## Ti2SiS (PBE-GGA)

Data for a relaxed Ti2SiS crystal.

Size of the total moment in μB/cell: 0.0
Crystal system: tetragonal
Formation energy from raw total energies in kcal/mol of atoms: -5.97
Energy relative to the lowest polymorph listed for this composition in meV/atom: 603
E in eV/f.u.: -26.4
Symmetry: No. 122
V in Å³ per cell: 174.5

a b c (Å): 6.8603 6.8603 6.8603
angles (deg): 132.05 132.05 70.15
With the nearest neighbours (Å) after each atom.
Positions (direct):
Ti1 0.1129 0.6250 0.9879  2 S 2.38, 2 Si 2.46
Ti2 0.3750 0.3629 0.4879  2 S 2.38, 2 Si 2.46
Ti3 0.6371 0.1250 0.0121  2 S 2.38, 2 Si 2.46
Ti4 0.8750 0.8871 0.5121  2 S 2.38, 2 Si 2.46
Si1 0.2500 0.7500 0.5000  4 Ti 2.46
Si2 0.5000 0.5000 0.0000  4 Ti 2.46
S1 0.0000 0.0000 0.0000  4 Ti 2.38
S2 0.7500 0.2500 0.5000  4 Ti 2.38

formation energy from raw total energies of number 6 (Ti2SiS)?
-5.97 kcal/mol of atoms